Record 1
Cd4Ag2Pt: optimized geometry, PBE.

The formation enthalpy at 0 K comes out at -0.112 eV/atom.

The structure belongs to space group C2/m (No. 12); the cell edges are 8.116, 4.681 and 8.037 Å and the angles 90.00°, 109.52° and 90.00°. Symmetry generates all atoms from Cd at (0.122, 0.000, 0.368), Cd at (0.128, 0.500, 0.883), Ag at (0.249, 0.000, 0.746) and Pt at (0.000, 0.500, 0.500).

Record 2
YTc2Pb: optimized geometry, PBE.

The formation enthalpy at 0 K comes out at 0.933 eV/atom.

The structure belongs to space group I-42d (No. 122); the cell edges are 7.672, 7.672 and 6.017 Å and the angles 90.00°, 90.00° and 90.00°. Symmetry generates all atoms from Y at (0.000, 0.000, 0.000), Tc at (0.229, 0.250, 0.625) and Pb at (0.000, 0.000, 0.500).

Record 3
Ti3TlW: optimized geometry, PBE.

The formation enthalpy at 0 K comes out at 0.817 eV/atom.

The structure belongs to space group Pm-3m (No. 221); the cell edges are 4.821, 4.821 and 4.821 Å and the angles 90.00°, 90.00° and 90.00°. Symmetry generates all atoms from Ti at (0.000, 0.000, 0.500), Tl at (0.500, 0.500, 0.500) and W at (0.000, 0.000, 0.000).

Record 4
Sm2ErPb3: optimized geometry, PBE.

The formation enthalpy at 0 K comes out at -0.462 eV/atom.

The structure belongs to space group Cmmm (No. 65); the cell edges are 4.988, 15.246 and 9.064 Å and the angles 90.00°, 90.00° and 90.00°. Symmetry generates all atoms from Sm at (0.000, 0.000, 0.000), Sm at (0.000, 0.000, 0.500), Sm at (0.000, 0.333, 0.000), Er at (0.000, 0.332, 0.500), Pb at (0.000, 0.168, 0.254) and Pb at (0.000, 0.500, 0.253).

Record 5
Ce2AlGe4Rh3: optimized geometry, PBE.

The formation enthalpy at 0 K comes out at -0.784 eV/atom.

The structure belongs to space group P-4m2 (No. 115); the cell edges are 4.186, 4.186 and 10.543 Å and the angles 90.00°, 90.00° and 90.00°. Symmetry generates all atoms from Ce at (0.000, 0.500, 0.241), Al at (0.000, 0.000, 0.500), Ge at (0.000, 0.000, 0.000), Ge at (0.000, 0.500, 0.643), Ge at (0.500, 0.500, 0.000), Rh at (0.000, 0.500, 0.873) and Rh at (0.500, 0.500, 0.500).

Record 6
Hf2BeAs: optimized geometry, PBE.

The formation enthalpy at 0 K comes out at -0.140 eV/atom.

The structure belongs to space group I-42d (No. 122); the cell edges are 7.036, 7.036 and 5.857 Å and the angles 90.00°, 90.00° and 90.00°. Symmetry generates all atoms from Hf at (0.241, 0.250, 0.125), Be at (0.000, 0.000, 0.000) and As at (0.000, 0.000, 0.500).

Record 7
MoRh2Br: optimized geometry, PBE.

For the formation energy without anion corrections, the calculation gives 0.383 eV/atom.

The structure belongs to space group Cm (No. 8); the cell edges are 8.753, 3.043 and 6.231 Å and the angles 90.00°, 105.98° and 90.00°. Symmetry generates all atoms from Mo at (0.000, 0.000, 0.000), Rh at (0.005, 0.500, 0.672), Rh at (0.266, 0.000, 0.882) and Br at (0.140, 0.500, 0.342).

Record 8
Li12ZnAg6: optimized geometry, PBE.

The formation enthalpy at 0 K comes out at -0.145 eV/atom.

The structure belongs to space group R-3 (No. 148, hexagonal axes); the cell edges are 9.8096, 9.8096 and 11.9680 Å and the angles 90.00°, 90.00° and 120.00°. Symmetry generates all atoms from Li at (0.0372, 0.1903, 0.3147), Li at (0.0605, 0.8416, 0.9126), Zn at (0.0000, 0.0000, 0.5000) and Ag at (0.0238, 0.4354, 0.2065).

Record 9
Ca2PuRh2: optimized geometry, PBE.

The formation enthalpy at 0 K comes out at -0.424 eV/atom.

The structure belongs to space group C2/c (No. 15); the cell edges are 10.342, 6.032 and 7.879 Å and the angles 90.00°, 101.08° and 90.00°. Symmetry generates all atoms from Ca at (0.151, 0.126, 0.148), Pu at (0.000, 0.390, 0.750) and Rh at (0.136, 0.359, 0.508).

Record 10
CaSm4Pd5: optimized geometry, PBE.

The formation enthalpy at 0 K comes out at -0.777 eV/atom.

The structure belongs to space group P4/mmm (No. 123); the cell edges are 3.541, 3.541 and 18.230 Å and the angles 90.00°, 90.00° and 90.00°. Symmetry generates all atoms from Ca at (0.000, 0.000, 0.000), Sm at (0.000, 0.000, 0.198), Sm at (0.000, 0.000, 0.400), Pd at (0.500, 0.500, 0.106), Pd at (0.500, 0.500, 0.300) and Pd at (0.500, 0.500, 0.500).

Record 11
Pt7Rh5: optimized geometry, PBE.

The formation enthalpy at 0 K comes out at -0.021 eV/atom.

The structure belongs to space group P-1 (No. 2); the cell edges are 4.794, 4.794 and 9.192 Å and the angles 80.18°, 85.06° and 60.14°. Symmetry generates all atoms from Pt at (0.000, 0.000, 0.000), Pt at (0.000, 0.254, 0.249), Pt at (0.333, 0.084, 0.752), Pt at (0.335, 0.830, 0.500), Rh at (0.000, 0.500, 0.500), Rh at (0.333, 0.583, 0.247) and Rh at (0.335, 0.335, 0.001).

Record 12
CaNbRuO6: optimized geometry, PBE.

For the formation energy without anion corrections, the calculation gives -1.984 eV/atom.

The structure belongs to space group P4_2nm (No. 102); the cell edges are 4.899, 4.899 and 9.554 Å and the angles 90.00°, 90.00° and 90.00°. Symmetry generates all atoms from Ca at (0.000, 0.000, 0.000), Nb at (0.000, 0.000, 0.333), Ru at (0.000, 0.000, 0.671), O at (0.174, 0.174, 0.508), O at (0.209, 0.209, 0.812) and O at (0.214, 0.214, 0.194).

Please write out number 6 again, unchanged.
Hf2BeAs: optimized geometry, PBE.

The formation enthalpy at 0 K comes out at -0.140 eV/atom.

The structure belongs to space group I-42d (No. 122); the cell edges are 7.036, 7.036 and 5.857 Å and the angles 90.00°, 90.00° and 90.00°. Symmetry generates all atoms from Hf at (0.241, 0.250, 0.125), Be at (0.000, 0.000, 0.000) and As at (0.000, 0.000, 0.500).